# PBE Sc6CS2, optimized geometry
# E_tot = -7.135 eV per atom
# spin magnetization = 0.00 Bohr magnetons per cell
# ΔE_f (raw) = -22.41 kcal/mol of atoms
# space-group type = P2_1/c, No. 14
# mass density = 3.391 Mg/m³
data_Sc6CS2
_space_group_name_H-M_alt 'P 1'
_space_group_IT_number 1
_space_group_name_Hall 'P 1'
_cell_length_a 5.970
_cell_length_b 6.454
_cell_length_c 8.856
_cell_angle_alpha 90.00
_cell_angle_beta 83.15
_cell_angle_gamma 90.00
loop_
_atom_site_label
_atom_site_type_symbol
_atom_site_fract_x
_atom_site_fract_y
_atom_site_fract_z
_atom_site_occupancy
Sc1 Sc 0.167 0.037 0.259 1
Sc2 Sc 0.146 0.305 0.573 1
Sc3 Sc 0.189 0.314 0.944 1
Sc4 Sc 0.311 0.814 0.556 1
Sc5 Sc 0.354 0.805 0.927 1
Sc6 Sc 0.333 0.537 0.241 1
Sc7 Sc 0.833 0.963 0.741 1
Sc8 Sc 0.854 0.695 0.427 1
Sc9 Sc 0.811 0.686 0.056 1
Sc10 Sc 0.689 0.186 0.444 1
Sc11 Sc 0.646 0.195 0.073 1
Sc12 Sc 0.667 0.463 0.759 1
C1 C 0.500 0.500 0.000 1
C2 C 0.000 0.000 0.500 1
S1 S 0.058 0.624 0.788 1
S2 S 0.442 0.124 0.712 1
S3 S 0.558 0.876 0.288 1
S4 S 0.942 0.376 0.212 1